This record from OQMD via LeMat-Bulk describes crystalline CoMoIr2 at its relaxed geometry. The functional is PBE-GGA.

Summary:
Total magnetic moment in μB per cell: 0.92
SG: No. 40
DFT formation energy in eV/atom: -0.229

Geometry as CIF:
```
data_CoMoIr2
_cell_length_a 4.332
_cell_length_b 5.431
_cell_length_c 5.431
_cell_angle_alpha 120.22
_cell_angle_beta 90.00
_cell_angle_gamma 90.00
_symmetry_space_group_name_H-M 'P 1'
_symmetry_Int_Tables_number 1
_symmetry_space_group_name_Hall 'P 1'
loop_
_atom_site_label
_atom_site_fract_x
_atom_site_fract_y
_atom_site_fract_z
Co1 0.250 0.080 0.920
Co2 0.750 0.920 0.080
Mo1 0.250 0.075 0.403
Mo2 0.750 0.403 0.075
Ir1 0.250 0.580 0.416
Ir2 0.250 0.592 0.919
Ir3 0.750 0.416 0.580
Ir4 0.750 0.919 0.592
```



This record from OQMD via LeMat-Bulk describes crystalline BaSn2HgPd at its relaxed geometry. The functional is PBE-GGA.

Summary:
SG: No. 129
E_tot in eV/atom: -3.676

Geometry as CIF:
```
data_BaSn2HgPd
_cell_length_a 4.891
_cell_length_b 4.891
_cell_length_c 11.347
_cell_angle_alpha 90.00
_cell_angle_beta 90.00
_cell_angle_gamma 90.00
_symmetry_space_group_name_H-M 'P 1'
_symmetry_Int_Tables_number 1
_symmetry_space_group_name_Hall 'P 1'
loop_
_atom_site_label
_atom_site_fract_x
_atom_site_fract_y
_atom_site_fract_z
Ba1 0.250 0.250 0.248
Ba2 0.750 0.750 0.752
Sn1 0.250 0.250 0.653
Sn2 0.250 0.750 0.000
Sn3 0.750 0.250 0.000
Sn4 0.750 0.750 0.347
Hg1 0.250 0.750 0.500
Hg2 0.750 0.250 0.500
Pd1 0.250 0.250 0.888
Pd2 0.750 0.750 0.112
```



This record from OQMD via LeMat-Bulk describes crystalline LuBeNbFe at its relaxed geometry. The functional is PBE-GGA.

Summary:
Total magnetic moment in μB per cell: 0.07
SG: No. 216
E_tot in eV/atom: -6.562

Geometry as CIF:
```
data_LuBeNbFe
_cell_length_a 4.458
_cell_length_b 4.458
_cell_length_c 4.458
_cell_angle_alpha 60.00
_cell_angle_beta 60.00
_cell_angle_gamma 60.00
_symmetry_space_group_name_H-M 'P 1'
_symmetry_Int_Tables_number 1
_symmetry_space_group_name_Hall 'P 1'
loop_
_atom_site_label
_atom_site_fract_x
_atom_site_fract_y
_atom_site_fract_z
Lu1 0.000 0.000 0.000
Be1 0.250 0.250 0.250
Nb1 0.500 0.500 0.500
Fe1 0.750 0.750 0.750
```



This record from OQMD via LeMat-Bulk describes crystalline K3Te4Pd2 at its relaxed geometry. The functional is PBE-GGA.

Summary:
SG: No. 63
E_tot in eV/atom: -3.604

Geometry as CIF:
```
data_K3Te4Pd2
_cell_length_a 7.011
_cell_length_b 7.011
_cell_length_c 13.489
_cell_angle_alpha 90.00
_cell_angle_beta 90.00
_cell_angle_gamma 106.03
_symmetry_space_group_name_H-M 'P 1'
_symmetry_Int_Tables_number 1
_symmetry_space_group_name_Hall 'P 1'
loop_
_atom_site_label
_atom_site_fract_x
_atom_site_fract_y
_atom_site_fract_z
K1 0.198 0.802 0.571
K2 0.198 0.802 0.929
K3 0.270 0.730 0.250
K4 0.730 0.270 0.750
K5 0.802 0.198 0.071
K6 0.802 0.198 0.429
Te1 0.214 0.305 0.622
Te2 0.214 0.305 0.878
Te3 0.305 0.214 0.122
Te4 0.305 0.214 0.378
Te5 0.695 0.786 0.622
Te6 0.695 0.786 0.878
Te7 0.786 0.695 0.122
Te8 0.786 0.695 0.378
Pd1 0.448 0.552 0.750
Pd2 0.500 0.500 0.000
Pd3 0.500 0.500 0.500
Pd4 0.552 0.448 0.250
```



This record from OQMD via LeMat-Bulk describes crystalline Pa2F13 at its relaxed geometry. The functional is PBE-GGA.

Summary:
Total magnetic moment in μB per cell: 1.00
SG: No. 2
E_tot in eV/atom: -5.699

Geometry as CIF:
```
data_Pa2F13
_cell_length_a 5.100
_cell_length_b 5.749
_cell_length_c 6.487
_cell_angle_alpha 68.49
_cell_angle_beta 81.62
_cell_angle_gamma 78.73
_symmetry_space_group_name_H-M 'P 1'
_symmetry_Int_Tables_number 1
_symmetry_space_group_name_Hall 'P 1'
loop_
_atom_site_label
_atom_site_fract_x
_atom_site_fract_y
_atom_site_fract_z
Pa1 0.185 0.152 0.148
Pa2 0.815 0.848 0.852
F1 0.000 0.000 0.500
F2 0.053 0.161 0.823
F3 0.193 0.599 0.884
F4 0.233 0.391 0.294
F5 0.377 0.538 0.554
F6 0.448 0.792 0.081
F7 0.467 0.034 0.637
F8 0.533 0.966 0.363
F9 0.552 0.208 0.919
F10 0.623 0.462 0.446
F11 0.767 0.609 0.706
F12 0.807 0.401 0.116
F13 0.947 0.839 0.177
```



This record from OQMD via LeMat-Bulk describes crystalline ZrUGa at its relaxed geometry. The functional is PBE-GGA.

Summary:
Total magnetic moment in μB per cell: 4.62
SG: No. 216
E_tot in eV/atom: -6.668

Geometry as CIF:
```
data_ZrUGa
_cell_length_a 4.793
_cell_length_b 4.793
_cell_length_c 4.793
_cell_angle_alpha 60.00
_cell_angle_beta 60.00
_cell_angle_gamma 60.00
_symmetry_space_group_name_H-M 'P 1'
_symmetry_Int_Tables_number 1
_symmetry_space_group_name_Hall 'P 1'
loop_
_atom_site_label
_atom_site_fract_x
_atom_site_fract_y
_atom_site_fract_z
Zr1 0.000 0.000 0.000
U1 0.750 0.750 0.750
Ga1 0.500 0.500 0.500
```



no.,theoretical density (g/cm3)
1,16.22
2,8.34
3,8.82
4,4.38
5,6.81
6,8.51